Record 1
The following is a GGA-PBE calculation of a relaxed structure of ScCd2Fe, from Alexandria.

Results
N(E_F)	3.707	states/eV per cell
formation energy from the elements	0.150	eV/atom

Unit cell a=6.5833 b=5.2607 c=3.0071 alpha=90.77 beta=61.42 gamma=119.27
Closest atoms and distances in Å follow each position.
Atoms (fractional coordinates):
Cd  0.0000  0.0000  0.0000  4 Cd 2.89-3.01, 4 Fe 3.01-3.05, 4 Sc 3.01-3.05
Cd  0.5000  0.0000  0.5000  4 Cd 2.89-3.01, 4 Sc 3.01-3.05, 4 Fe 3.01-3.05
Fe  0.0000  0.5000  0.5000  2 Sc 2.89, 2 Fe 3.01, 8 Cd 3.01-3.05
Sc  0.5000  0.5000  0.0000  2 Fe 2.89, 2 Sc 3.01, 8 Cd 3.01-3.05

Record 2
The following is a GGA-PBE calculation of a relaxed structure of AcHoZnAg, from Alexandria.

Results
N(E_F)	2.130	states/eV per cell
E above lowest polymorph	41	meV per atom
formation energy from the elements	-0.236	eV/atom

Unit cell a=5.3449 b=5.3449 c=5.3449 alpha=60.00 beta=60.00 gamma=60.00
Closest atoms and distances in Å follow each position.
Atoms (fractional coordinates):
Zn  0.5000  0.5000  0.5000  4 Ac 3.27, 4 Ho 3.27
Ac  0.2500  0.2500  0.2500  4 Zn 3.27, 4 Ag 3.27
Ho  0.7500  0.7500  0.7500  4 Zn 3.27, 4 Ag 3.27
Ag  0.0000  0.0000  0.0000  4 Ac 3.27, 4 Ho 3.27

Record 3
The following is a GGA-PBE calculation of a relaxed structure of LaSc2ZnAu4, from Alexandria.

Results
N(E_F)	4.442	states/eV per cell
formation energy from the elements	-0.677	eV/atom

Unit cell a=4.7391 b=4.7391 c=9.2601 alpha=75.17 beta=75.17 gamma=60.00
Closest atoms and distances in Å follow each position.
Atoms (fractional coordinates):
La  0.0000  0.0000  0.0000  8 Au 3.24
Sc  0.7686  0.7686  0.6943  7 Au 2.79-2.90
Sc  0.2314  0.2314  0.3057  7 Au 2.79-2.90
Zn  0.5000  0.5000  0.5000  8 Au 2.69-2.98
Au  0.3985  0.3985  0.8046  1 Zn 2.69, 3 Sc 2.90
Au  0.8779  0.8779  0.3662  4 Sc 2.79-2.90, 3 Zn 2.98
Au  0.1221  0.1221  0.6338  4 Sc 2.79-2.90, 3 Zn 2.98
Au  0.6015  0.6015  0.1954  1 Zn 2.69, 3 Sc 2.90

Record 4
The following is a GGA-PBE calculation of a relaxed structure of BaGa2Rh2, from Alexandria.

Results
N(E_F)	2.466	states/eV per cell
formation energy from the elements	-0.672	eV/atom

Unit cell a=6.1797 b=6.1798 c=7.4118 alpha=101.62 beta=101.62 gamma=121.14
Closest atoms and distances in Å follow each position.
Atoms (fractional coordinates):
Ba  0.8750  0.6250  0.7500  8 Rh 3.44-3.56, 10 Ga 3.47-3.79
Ba  0.1250  0.3750  0.2500  8 Rh 3.44-3.56, 10 Ga 3.47-3.79
Ga  0.1976  0.3024  0.7500  4 Rh 2.46-2.50
Ga  0.4477  0.0523  0.2500  4 Rh 2.46-2.50
Ga  0.5523  0.9477  0.7500  4 Rh 2.46-2.50
Ga  0.8024  0.6976  0.2500  4 Rh 2.46-2.50
Rh  0.2560  0.0061  0.5119  4 Ga 2.46-2.50
Rh  0.5061  0.7560  0.0119  4 Ga 2.46-2.50
Rh  0.7440  0.9939  0.4881  4 Ga 2.46-2.50
Rh  0.4939  0.2440  0.9881  4 Ga 2.46-2.50

Record 5
The following is a GGA-PBE calculation of a relaxed structure of Sc4CoRe, from Alexandria.

Results
N(E_F)	8.392	states/eV per cell
formation energy from the elements	0.741	eV/atom

Unit cell a=5.4181 b=5.4181 c=5.4181 alpha=60.00 beta=60.00 gamma=60.00
Closest atoms and distances in Å follow each position.
Atoms (fractional coordinates):
Sc  0.8766  0.3745  0.3745  6 Sc 2.70-2.72
Sc  0.3745  0.3745  0.8766  6 Sc 2.70-2.72
Sc  0.3745  0.8766  0.3745  6 Sc 2.70-2.72
Sc  0.3745  0.3745  0.3745  6 Sc 2.70-2.72
Co  0.7500  0.7500  0.7500  12 Sc 3.18, 4 Re 3.32
Re  0.0000  0.0000  0.0000  12 Sc 3.18, 4 Co 3.32

Record 6
The following is a GGA-PBE calculation of a relaxed structure of SiRu2, from Alexandria.

Results
N(E_F)	5.081	states/eV per cell
formation energy from raw total energies	-131	meV/atom

Unit cell a=5.8871 b=5.8871 c=3.9291 alpha=90.00 beta=90.00 gamma=143.23
Closest atoms and distances in Å follow each position.
Atoms (fractional coordinates):
Si  0.0995  0.9005  0.2500  10 Ru 2.51-2.72
Si  0.9005  0.0995  0.7500  10 Ru 2.51-2.72
Ru  0.4259  0.5741  0.2500  6 Ru 2.57-2.86, 6 Si 2.69-2.72
Ru  0.5741  0.4259  0.7500  6 Ru 2.57-2.86, 6 Si 2.69-2.72
Ru  0.7601  0.2399  0.2500  4 Si 2.51-2.58, 6 Ru 2.62-2.71
Ru  0.2399  0.7601  0.7500  4 Si 2.51-2.58, 6 Ru 2.62-2.71

Record 7
The following is a GGA-PBE calculation of a relaxed structure of LaSeCl6, from Alexandria.

Results
N(E_F)	0.818	states/eV per cell
formation energy from raw total energies	-1176	meV/atom

Unit cell a=6.6450 b=7.1243 c=7.1291 alpha=65.72 beta=63.35 gamma=56.69
Closest atoms and distances in Å follow each position.
Atoms (fractional coordinates):
La  0.5000  0.5000  0.5000  6 Cl 2.67-2.92
Se  0.0000  0.0000  0.0000  4 Cl 2.42-2.43
Cl  0.0973  0.4213  0.7397  1 La 2.67
Cl  0.7756  0.0732  0.7692  1 Se 2.42
Cl  0.6024  0.2218  0.2337  1 Se 2.43
Cl  0.2244  0.9268  0.2308  1 Se 2.42
Cl  0.9027  0.5787  0.2603  1 La 2.67
Cl  0.3976  0.7782  0.7663  1 Se 2.43

Record 8
The following is a GGA-PBE calculation of a relaxed structure of PmMnB3Os, from Alexandria.

Results
N(E_F)	4.875	states/eV per cell
formation energy from the elements	-0.226	eV/atom

Unit cell a=5.7057 b=5.5573 c=5.6920 alpha=119.22 beta=90.00 gamma=90.00
Closest atoms and distances in Å follow each position.
Atoms (fractional coordinates):
Pm  0.7500  0.2556  0.5113  4 B 2.78-2.86, 1 Mn 2.94, 1 Os 3.11
Pm  0.2500  0.7444  0.4887  4 B 2.78-2.86, 1 Mn 2.94, 1 Os 3.11
Mn  0.2500  0.0406  0.0812  5 B 1.89-2.01
Mn  0.7500  0.9594  0.9188  5 B 1.89-2.01
B  0.2500  0.2306  0.4612  1 Mn 1.89, 1 Os 2.00
B  0.0000  0.2449  0.0000  2 Mn 2.01, 2 Os 2.12
B  0.5000  0.7551  0.0000  2 Mn 2.01, 2 Os 2.12
B  0.5000  0.2449  0.0000  2 Mn 2.01, 2 Os 2.12
B  0.0000  0.7551  0.0000  2 Mn 2.01, 2 Os 2.12
B  0.7500  0.7694  0.5388  1 Mn 1.89, 1 Os 2.00
Os  0.2500  0.4317  0.8634  5 B 2.00-2.12
Os  0.7500  0.5683  0.1366  5 B 2.00-2.12

Please write out number 3 again, unchanged.
The following is a GGA-PBE calculation of a relaxed structure of LaSc2ZnAu4, from Alexandria.

Results
N(E_F)	4.442	states/eV per cell
formation energy from the elements	-0.677	eV/atom

Unit cell a=4.7391 b=4.7391 c=9.2601 alpha=75.17 beta=75.17 gamma=60.00
Closest atoms and distances in Å follow each position.
Atoms (fractional coordinates):
La  0.0000  0.0000  0.0000  8 Au 3.24
Sc  0.7686  0.7686  0.6943  7 Au 2.79-2.90
Sc  0.2314  0.2314  0.3057  7 Au 2.79-2.90
Zn  0.5000  0.5000  0.5000  8 Au 2.69-2.98
Au  0.3985  0.3985  0.8046  1 Zn 2.69, 3 Sc 2.90
Au  0.8779  0.8779  0.3662  4 Sc 2.79-2.90, 3 Zn 2.98
Au  0.1221  0.1221  0.6338  4 Sc 2.79-2.90, 3 Zn 2.98
Au  0.6015  0.6015  0.1954  1 Zn 2.69, 3 Sc 2.90

Which of these has the lowest N(E_F)?
LaSeCl6

Which of these has the lowest N(E_F)?
LaSeCl6